[1]
The following is a PBE calculation of crystalline Sc3CrH at its relaxed geometry, from Alexandria via LeMat-Bulk.

The calculation puts the energy above the lowest structure with this stoichiometry at 0 meV/atom. The calculation puts the density of states at the Fermi level at 7.78 states/eV/cell.

Cell lengths 4.333, 4.333, 4.333 Å; angles 90.00, 90.00, 90.00 degrees
Space group Pm-3m (No. 221)
Unique sites:
Sc 0.000 0.000 0.500
Cr 0.500 0.500 0.500
H 0.000 0.000 0.000



[2]
The following is a PBE calculation of crystalline Cd7In2Hg12 at its relaxed geometry, from Alexandria via LeMat-Bulk.

The calculation puts the energy relative to the elements at 0.02 eV/atom. The calculation puts the density of states at the Fermi level at 9.05 states/eV/cell.

Cell lengths 13.7095, 13.7095, 3.3809 Å; angles 90.00, 90.00, 120.00 degrees
Space group P-6 (No. 174)
Unique sites:
Cd 0.0000 0.0000 0.0000
Cd 0.1425 0.6830 0.0000
Cd 0.4637 0.1420 0.5000
In 0.3333 0.6667 0.5000
In 0.6667 0.3333 0.0000
Hg 0.0809 0.4323 0.0000
Hg 0.1120 0.8688 0.5000
Hg 0.2564 0.1171 0.0000
Hg 0.4302 0.3511 0.5000



[3]
The following is a PBE calculation of crystalline TmGa4Cu6 at its relaxed geometry, from Alexandria via LeMat-Bulk.

The calculation puts the energy relative to the elements at -0.22 eV/atom. The calculation puts the density of states at the Fermi level at 3.53 states/eV/cell.

Cell lengths 6.8930, 6.8930, 4.0121 Å; angles 90.00, 90.00, 120.00 degrees
Space group P-6m2 (No. 187)
Unique sites:
Tm 0.0000 0.0000 0.0000
Ga 0.1940 0.3881 0.5000
Ga 0.6667 0.3333 0.0000
Cu 0.0800 0.5400 0.0000
Cu 0.4173 0.2086 0.5000



[4]
The following is a PBE calculation of crystalline ZrAg2Sb at its relaxed geometry, from Alexandria via LeMat-Bulk.

The calculation puts the uncorrected formation energy at -0.13 eV/atom. The calculation puts the density of states at the Fermi level at 4.12 states/eV/cell.

Cell lengths 4.163, 4.173, 9.526 Å; angles 90.00, 90.00, 90.00 degrees
Space group Immm (No. 71)
Unique sites:
Zr 0.000 0.000 0.000
Ag 0.000 0.500 0.250
Sb 0.000 0.000 0.500



[5]
The following is a PBE calculation of crystalline CaScTe at its relaxed geometry, from Alexandria via LeMat-Bulk.

The calculation puts the uncorrected formation energy at -0.54 eV/atom. The calculation puts the energy above the lowest structure with this stoichiometry at 340 meV/atom. The calculation puts the density of states at the Fermi level at 4.06 states/eV/cell.

Cell lengths 4.9395, 4.9395, 4.2308 Å; angles 90.00, 90.00, 120.00 degrees
Space group P3m1 (No. 156)
Unique sites:
Ca 0.0000 0.0000 0.0000
Sc 0.3333 0.6667 0.5000
Te 0.6667 0.3333 0.4966



[6]
The following is a PBE calculation of crystalline TbY8Sc2 at its relaxed geometry, from Alexandria via LeMat-Bulk.

The calculation puts the energy above the lowest structure with this stoichiometry at 0 meV/atom. The calculation puts the energy relative to the elements at 0.18 eV/atom. The calculation puts the density of states at the Fermi level at 36.37 states/eV/cell.

Cell lengths 8.885, 15.785, 5.774 Å; angles 90.00, 121.68, 90.00 degrees
Space group C2/m (No. 12)
Unique sites:
Tb 0.000 0.000 0.000
Y 0.000 0.209 0.000
Y 0.077 0.500 0.793
Y 0.216 0.119 0.665
Sc 0.000 0.308 0.500



[7]
The following is a PBE calculation of crystalline SnHgH3 at its relaxed geometry, from Alexandria via LeMat-Bulk.

The calculation puts the energy above the lowest structure with this stoichiometry at 287 meV/atom. The calculation puts the density of states at the Fermi level at 1.34 states/eV/cell.

Cell lengths 4.054, 4.054, 4.054 Å; angles 90.00, 90.00, 90.00 degrees
Space group Pm-3m (No. 221)
Unique sites:
Sn 0.000 0.000 0.000
Hg 0.500 0.500 0.500
H 0.000 0.500 0.500



[8]
The following is a PBE calculation of crystalline RbGaC at its relaxed geometry, from Alexandria via LeMat-Bulk.

The calculation puts the energy relative to the elements at 0.35 eV/atom. The calculation puts the density of states at the Fermi level at 2.03 states/eV/cell.

Cell lengths 3.476, 6.463, 7.358 Å; angles 78.22, 76.79, 74.47 degrees
Space group P1 (No. 1)
Unique sites:
Rb 0.000 0.000 0.000
Rb 0.094 0.449 0.348
Ga 0.288 0.885 0.534
Ga 0.339 0.525 0.802
C 0.530 0.256 0.680
C 0.651 0.074 0.617



[9]
The following is a PBE calculation of crystalline ScSeI at its relaxed geometry, from Alexandria via LeMat-Bulk.

The calculation puts the uncorrected formation energy at -1.47 eV/atom. The calculation puts the density of states at the Fermi level at 0.00 states/eV/cell.

Cell lengths 3.9972, 3.9972, 7.0737 Å; angles 90.00, 90.00, 120.00 degrees
Space group P3m1 (No. 156)
Unique sites:
Sc 0.0000 0.0000 0.0000
Se 0.6667 0.3333 0.1810
I 0.3333 0.6667 0.7237



[10]
The following is a PBE calculation of crystalline La3ErC at its relaxed geometry, from Alexandria via LeMat-Bulk.

The calculation puts the energy relative to the elements at 0.09 eV/atom. The calculation puts the density of states at the Fermi level at 8.68 states/eV/cell.

Cell lengths 5.320, 5.320, 5.320 Å; angles 90.00, 90.00, 90.00 degrees
Space group Pm-3m (No. 221)
Unique sites:
La 0.000 0.000 0.500
Er 0.500 0.500 0.500
C 0.000 0.000 0.000



[11]
The following is a PBE calculation of crystalline SrOs at its relaxed geometry, from Alexandria via LeMat-Bulk.

The calculation puts the energy relative to the elements at 0.51 eV/atom. The calculation puts the density of states at the Fermi level at 10.93 states/eV/cell.

Cell lengths 10.4123, 10.4123, 4.2308 Å; angles 90.00, 90.00, 120.00 degrees
Space group P6_3/mmc (No. 194)
Unique sites:
Sr 0.1933 0.3867 0.2500
Os 0.0610 0.5305 0.7500



[12]
The following is a PBE calculation of crystalline NdAlAg2Au4 at its relaxed geometry, from Alexandria via LeMat-Bulk.

The calculation puts the energy relative to the elements at -0.36 eV/atom. The calculation puts the density of states at the Fermi level at 5.76 states/eV/cell.

Cell lengths 4.8264, 4.8264, 23.3147 Å; angles 90.00, 90.00, 120.00 degrees
Space group R-3m (No. 166, hexagonal axes)
Unique sites:
Nd 0.0000 0.0000 0.0000
Al 0.0000 0.0000 0.5000
Ag 0.0000 0.0000 0.2564
Au 0.0000 0.0000 0.1346
Au 0.0000 0.0000 0.3899



Repeat the first record exactly.
The following is a PBE calculation of crystalline Sc3CrH at its relaxed geometry, from Alexandria via LeMat-Bulk.

The calculation puts the energy above the lowest structure with this stoichiometry at 0 meV/atom. The calculation puts the density of states at the Fermi level at 7.78 states/eV/cell.

Cell lengths 4.333, 4.333, 4.333 Å; angles 90.00, 90.00, 90.00 degrees
Space group Pm-3m (No. 221)
Unique sites:
Sc 0.000 0.000 0.500
Cr 0.500 0.500 0.500
H 0.000 0.000 0.000